Record 1
Entry from the Alexandria database: Y6BiSb2As3 after structural relaxation (GGA-PBE).

Cell: 9.5770 9.5770 8.5884 Å, 103.76 103.76 25.61°
Fractional coordinates of all 12 atoms:
Y: 0.0041 0.0041 0.2356
Y: 0.3276 0.3276 0.4255
Y: 0.3365 0.3365 0.9075
Y: 0.6635 0.6635 0.0925
Y: 0.6724 0.6724 0.5745
Y: 0.9959 0.9959 0.7644
Bi: 0.5000 0.5000 0.5000
Sb: 0.1663 0.1663 0.8327
Sb: 0.8337 0.8337 0.1673
As: 0.1664 0.1664 0.3326
As: 0.5000 0.5000 0.0000
As: 0.8336 0.8336 0.6674

Values from the calculation:
D(E_F) = 1.9 states/eV/f.u.
total DFT energy (no corrections) = -6.7021 eV/atom

=====

Record 2
Entry from the Alexandria database: Sc2BiAs after structural relaxation (GGA-PBE).

Cell: 8.3901 8.3901 8.3901 Å, 30.87 30.87 30.87°
Fractional coordinates of all 4 atoms:
Sc: 0.1026 0.1026 0.1026
Sc: 0.8974 0.8974 0.8974
Bi: 0.5000 0.5000 0.5000
As: 0.0000 0.0000 0.0000

Values from the calculation:
D(E_F) = 3.0 states/eV/f.u.
total DFT energy (no corrections) = -5.4479 eV/atom
formation enthalpy at 0 K = -0.149 eV per atom

=====

Record 3
Entry from the Alexandria database: ScBiAs3 after structural relaxation (GGA-PBE).

Cell: 5.3388 5.3388 5.3388 Å, 90.00 90.00 90.00°
Fractional coordinates of all 5 atoms:
Sc: 0.0000 0.0000 0.0000
Bi: 0.5000 0.5000 0.5000
As: 0.0000 0.5000 0.5000
As: 0.5000 0.0000 0.5000
As: 0.5000 0.5000 0.0000

Values from the calculation:
D(E_F) = 5.0 states/eV/f.u.
total DFT energy (no corrections) = -4.0225 eV/atom
formation enthalpy at 0 K = 0.810 eV per atom
excess energy over the best structure of this formula in the dataset = 630 meV/atom

=====

Look up the total DFT energy (no corrections) of the first one.
-6.7021 eV/atom